Al3HPb: optimized geometry, PBE-GGA.

Output
Density of states at the Fermi level ... 0.42 states/eV per atom
SG ... Pm-3m, No. 221
VASP energy ... -16.57 eV for the cell shown

Lattice parameters (Å, degrees): 4.4338 4.4338 4.4338 90.00 90.00 90.00
Positions (direct):
Al (0.0000, 0.0000, 0.5000)
Al (0.0000, 0.5000, 0.0000)
Al (0.5000, 0.0000, 0.0000)
H (0.0000, 0.0000, 0.0000)
Pb (0.5000, 0.5000, 0.5000)